Entry 1:
A geometry-optimized Dy3Y2Os2 structure. Source: Alexandria via LeMat-Bulk, functional PBE-GGA.

Structure (CIF):
```
data_Dy3Y2Os2
_chemical_formula_sum 'Dy6 Y4 Os4'
_cell_length_a 11.8610
_cell_length_b 3.9824
_cell_length_c 8.3175
_cell_angle_alpha 90.00
_cell_angle_beta 112.91
_cell_angle_gamma 90.00
_space_group_name_H-M_alt 'C 1 2/m 1'
_space_group_IT_number 12
loop_
_space_group_symop_operation_xyz
'x,y,z'
'-x,-y,-z'
'-x,y,-z'
'x,-y,z'
'x+1/2,y+1/2,z'
'-x+1/2,-y+1/2,-z'
'-x+1/2,y+1/2,-z'
'x+1/2,-y+1/2,z'
loop_
_atom_site_label
_atom_site_fract_x
_atom_site_fract_y
_atom_site_fract_z
_atom_site_occupancy
Dy1 0.0000 0.0000 0.0000 1
Dy2 0.1248 0.0000 0.4309 1
Y1 0.1648 0.5000 0.8140 1
Os1 0.1762 0.5000 0.2170 1
```

Fermi-level density of states: 0.76 states/eV/atom
Energy of formation: -0.235 eV/atom
Total magnetic moment: 0.000 Bohr magnetons per cell

Entry 2:
A geometry-optimized Dy2Y3Os2 structure. Source: Alexandria via LeMat-Bulk, functional PBE-GGA.

Structure (CIF):
```
data_Dy2Y3Os2
_chemical_formula_sum 'Dy4 Y6 Os4'
_cell_length_a 12.0025
_cell_length_b 3.9608
_cell_length_c 8.2973
_cell_angle_alpha 90.00
_cell_angle_beta 112.37
_cell_angle_gamma 90.00
_space_group_name_H-M_alt 'C 1 2/m 1'
_space_group_IT_number 12
loop_
_space_group_symop_operation_xyz
'x,y,z'
'-x,-y,-z'
'-x,y,-z'
'x,-y,z'
'x+1/2,y+1/2,z'
'-x+1/2,-y+1/2,-z'
'-x+1/2,y+1/2,-z'
'x+1/2,-y+1/2,z'
loop_
_atom_site_label
_atom_site_fract_x
_atom_site_fract_y
_atom_site_fract_z
_atom_site_occupancy
Dy1 0.1671 0.0000 0.3168 1
Y1 0.0000 0.5000 0.5000 1
Y2 0.1248 0.5000 0.9313 1
Os1 0.1783 0.0000 0.7139 1
```

Fermi-level density of states: 0.74 states/eV/atom
Energy of formation: -0.223 eV/atom
Total magnetic moment: 0.000 Bohr magnetons per cell

Entry 3:
A geometry-optimized DyY2Os structure. Source: Alexandria via LeMat-Bulk, functional PBE-GGA.

Structure (CIF):
```
data_DyY2Os
_chemical_formula_sum 'Dy4 Y8 Os4'
_cell_length_a 3.9736
_cell_length_b 11.9329
_cell_length_c 9.0690
_cell_angle_alpha 90.00
_cell_angle_beta 90.00
_cell_angle_gamma 90.00
_space_group_name_H-M_alt 'C m c m'
_space_group_IT_number 63
_space_group_name_Hall '-C 2c 2'
loop_
_atom_site_label
_atom_site_fract_x
_atom_site_fract_y
_atom_site_fract_z
_atom_site_occupancy
Dy1 0.0000 0.0767 0.2500 1
Y1 0.0000 0.3559 0.0662 1
Os1 0.0000 0.2589 0.7500 1
```

Energy relative to the lowest polymorph listed for this composition: 9 kJ/mol of formula units
Fermi-level density of states: 0.87 states/eV/atom
Energy of formation: -0.221 eV/atom
Total magnetic moment: 0.000 Bohr magnetons per cell

Entry 4:
A geometry-optimized Dy3YOs structure. Source: Alexandria via LeMat-Bulk, functional PBE-GGA.

Structure (CIF):
```
data_Dy3YOs
_chemical_formula_sum 'Dy6 Y2 Os2'
_cell_length_a 7.6934
_cell_length_b 6.4324
_cell_length_c 6.2366
_cell_angle_alpha 90.00
_cell_angle_beta 90.00
_cell_angle_gamma 90.00
_space_group_name_H-M_alt 'P m n 21'
_space_group_IT_number 31
loop_
_space_group_symop_operation_xyz
'x,y,z'
'-x+1/2,-y,z+1/2'
'-x,y,z'
'x+1/2,-y,z+1/2'
loop_
_atom_site_label
_atom_site_fract_x
_atom_site_fract_y
_atom_site_fract_z
_atom_site_occupancy
Dy1 0.0000 0.1585 0.0000 1
Dy2 0.2502 0.3201 0.5031 1
Y1 0.0000 0.8425 0.5062 1
Os1 0.0000 0.4986 0.2527 1
```

Energy relative to the lowest polymorph listed for this composition: 0 kJ/mol of formula units
Fermi-level density of states: 1.11 states/eV/atom
Energy of formation: -0.064 eV/atom
Total magnetic moment: 0.000 Bohr magnetons per cell

Entry 5:
A geometry-optimized DyYOs structure. Source: Alexandria via LeMat-Bulk, functional PBE-GGA.

Structure (CIF):
```
data_DyYOs
_chemical_formula_sum 'Dy4 Y4 Os4'
_cell_length_a 6.7678
_cell_length_b 6.7678
_cell_length_c 6.7678
_cell_angle_alpha 90.00
_cell_angle_beta 90.00
_cell_angle_gamma 90.00
_space_group_name_H-M_alt 'F -4 3 m'
_space_group_IT_number 216
_space_group_name_Hall 'F -4 2 3'
loop_
_atom_site_label
_atom_site_fract_x
_atom_site_fract_y
_atom_site_fract_z
_atom_site_occupancy
Dy1 0.0000 0.0000 0.0000 1
Y1 0.0000 0.0000 0.5000 1
Os1 0.2500 0.2500 0.2500 1
```

Energy relative to the lowest polymorph listed for this composition: 9 kJ/mol of formula units
Fermi-level density of states: 0.55 states/eV/atom
Energy of formation: -0.187 eV/atom
Total magnetic moment: 0.000 Bohr magnetons per cell

Entry 6:
A geometry-optimized Dy4Zn3Os structure. Source: Alexandria via LeMat-Bulk, functional PBE-GGA.

Structure (CIF):
```
data_Dy4Zn3Os
_chemical_formula_sum 'Dy4 Zn3 Os1'
_cell_length_a 3.4969
_cell_length_b 3.4969
_cell_length_c 14.4149
_cell_angle_alpha 90.00
_cell_angle_beta 90.00
_cell_angle_gamma 90.00
_space_group_name_H-M_alt 'P 4/m m m'
_space_group_IT_number 123
_space_group_name_Hall '-P 4 2'
loop_
_atom_site_label
_atom_site_fract_x
_atom_site_fract_y
_atom_site_fract_z
_atom_site_occupancy
Dy1 0.0000 0.0000 0.1134 1
Dy2 0.0000 0.0000 0.3739 1
Zn1 0.5000 0.5000 0.2498 1
Zn2 0.5000 0.5000 0.5000 1
Os1 0.5000 0.5000 0.0000 1
```

Fermi-level density of states: 0.84 states/eV/atom
Energy of formation: -0.320 eV/atom
Total magnetic moment: 0.000 Bohr magnetons per cell

Entry 7:
A geometry-optimized Dy4ZnOs structure. Source: Alexandria via LeMat-Bulk, functional PBE-GGA.

Structure (CIF):
```
data_Dy4ZnOs
_chemical_formula_sum 'Dy64 Zn16 Os16'
_cell_length_a 13.4489
_cell_length_b 13.4489
_cell_length_c 13.4489
_cell_angle_alpha 90.00
_cell_angle_beta 90.00
_cell_angle_gamma 90.00
_space_group_name_H-M_alt 'F -4 3 m'
_space_group_IT_number 216
_space_group_name_Hall 'F -4 2 3'
loop_
_atom_site_label
_atom_site_fract_x
_atom_site_fract_y
_atom_site_fract_z
_atom_site_occupancy
Dy1 0.0000 0.0000 0.1901 1
Dy2 0.0566 0.2500 0.7500 1
Dy3 0.0994 0.0994 0.4006 1
Zn1 0.1734 0.1734 0.1734 1
Os1 0.1110 0.1110 0.6110 1
```

Energy relative to the lowest polymorph listed for this composition: 0 kJ/mol of formula units
Fermi-level density of states: 1.25 states/eV/atom
Energy of formation: -0.246 eV/atom
Total magnetic moment: 0.000 Bohr magnetons per cell

Entry 8:
A geometry-optimized Dy4ZnOs structure. Source: Alexandria via LeMat-Bulk, functional PBE-GGA.

Structure (CIF):
```
data_Dy4ZnOs
_chemical_formula_sum 'Dy8 Zn2 Os2'
_cell_length_a 6.8601
_cell_length_b 6.8603
_cell_length_c 6.9425
_cell_angle_alpha 90.00
_cell_angle_beta 90.05
_cell_angle_gamma 90.00
_space_group_name_H-M_alt 'C 1 2 1'
_space_group_IT_number 5
loop_
_space_group_symop_operation_xyz
'x,y,z'
'-x,y,-z'
'x+1/2,y+1/2,z'
'-x+1/2,y+1/2,-z'
loop_
_atom_site_label
_atom_site_fract_x
_atom_site_fract_y
_atom_site_fract_z
_atom_site_occupancy
Dy1 0.2498 0.0000 0.2366 1
Dy2 0.2504 0.9998 0.7632 1
Zn1 0.0000 0.2501 0.5000 1
Os1 0.0000 0.7498 0.0000 1
```

Energy relative to the lowest polymorph listed for this composition: 78 kJ/mol of formula units
Fermi-level density of states: 1.34 states/eV/atom
Energy of formation: -0.110 eV/atom
Total magnetic moment: 0.000 Bohr magnetons per cell

Entry 9:
A geometry-optimized Dy8ZnOs2 structure. Source: Alexandria via LeMat-Bulk, functional PBE-GGA.

Structure (CIF):
```
data_Dy8ZnOs2
_chemical_formula_sum 'Dy16 Zn2 Os4'
_cell_length_a 8.6923
_cell_length_b 12.8733
_cell_length_c 5.5261
_cell_angle_alpha 90.00
_cell_angle_beta 104.14
_cell_angle_gamma 90.00
_space_group_name_H-M_alt 'C 1 m 1'
_space_group_IT_number 8
loop_
_space_group_symop_operation_xyz
'x,y,z'
'x,-y,z'
'x+1/2,y+1/2,z'
'x+1/2,-y+1/2,z'
loop_
_atom_site_label
_atom_site_fract_x
_atom_site_fract_y
_atom_site_fract_z
_atom_site_occupancy
Dy1 0.0000 0.0000 0.0000 1
Dy2 0.0752 0.3673 0.7857 1
Dy3 0.1802 0.1326 0.6115 1
Dy4 0.2548 0.5000 0.3973 1
Dy5 0.3777 0.2422 0.1988 1
Zn1 0.3769 0.0000 0.2050 1
Os1 0.3776 0.3137 0.6985 1
```

Fermi-level density of states: 0.94 states/eV/atom
Energy of formation: -0.143 eV/atom
Total magnetic moment: 0.000 Bohr magnetons per cell

Entry 10:
A geometry-optimized Dy3Zn2Os structure. Source: Alexandria via LeMat-Bulk, functional PBE-GGA.

Structure (CIF):
```
data_Dy3Zn2Os
_chemical_formula_sum 'Dy3 Zn2 Os1'
_cell_length_a 3.4894
_cell_length_b 3.4894
_cell_length_c 10.7387
_cell_angle_alpha 90.00
_cell_angle_beta 90.00
_cell_angle_gamma 90.00
_space_group_name_H-M_alt 'P 4/m m m'
_space_group_IT_number 123
_space_group_name_Hall '-P 4 2'
loop_
_atom_site_label
_atom_site_fract_x
_atom_site_fract_y
_atom_site_fract_z
_atom_site_occupancy
Dy1 0.0000 0.0000 0.0000 1
Dy2 0.0000 0.0000 0.3472 1
Zn1 0.5000 0.5000 0.1674 1
Os1 0.5000 0.5000 0.5000 1
```

Energy relative to the lowest polymorph listed for this composition: 14 kJ/mol of formula units
Fermi-level density of states: 1.05 states/eV/atom
Energy of formation: -0.308 eV/atom
Total magnetic moment: 0.000 Bohr magnetons per cell

Entry 11:
A geometry-optimized Dy7Zn2Os2 structure. Source: Alexandria via LeMat-Bulk, functional PBE-GGA.

Structure (CIF):
```
data_Dy7Zn2Os2
_chemical_formula_sum 'Dy14 Zn4 Os4'
_cell_length_a 7.7834
_cell_length_b 10.7628
_cell_length_c 7.0912
_cell_angle_alpha 90.00
_cell_angle_beta 90.00
_cell_angle_gamma 90.00
_space_group_name_H-M_alt 'C m m m'
_space_group_IT_number 65
_space_group_name_Hall '-C 2 2'
loop_
_atom_site_label
_atom_site_fract_x
_atom_site_fract_y
_atom_site_fract_z
_atom_site_occupancy
Dy1 0.0000 0.0000 0.0000 1
Dy2 0.0000 0.5000 0.2486 1
Dy3 0.2500 0.2500 0.2598 1
Zn1 0.1675 0.0000 0.5000 1
Os1 0.0000 0.2954 0.0000 1
```

Fermi-level density of states: 0.84 states/eV/atom
Energy of formation: -0.119 eV/atom
Total magnetic moment: 0.000 Bohr magnetons per cell

Entry 12:
A geometry-optimized Dy3Zn2Os structure. Source: Alexandria via LeMat-Bulk, functional PBE-GGA.

Structure (CIF):
```
data_Dy3Zn2Os
_chemical_formula_sum 'Dy6 Zn4 Os2'
_cell_length_a 4.9321
_cell_length_b 7.1554
_cell_length_c 7.7857
_cell_angle_alpha 90.00
_cell_angle_beta 108.35
_cell_angle_gamma 90.00
_space_group_name_H-M_alt 'P 1 2/m 1'
_space_group_IT_number 10
loop_
_space_group_symop_operation_xyz
'x,y,z'
'-x,-y,-z'
'-x,y,-z'
'x,-y,z'
loop_
_atom_site_label
_atom_site_fract_x
_atom_site_fract_y
_atom_site_fract_z
_atom_site_occupancy
Dy1 0.0000 0.2379 0.0000 1
Dy2 0.3293 0.2329 0.6590 1
Zn1 0.1673 0.5000 0.3324 1
Zn2 0.5000 0.0000 0.0000 1
Zn3 0.5000 0.5000 0.0000 1
Os1 0.1637 0.0000 0.3270 1
```

Energy relative to the lowest polymorph listed for this composition: 0 kJ/mol of formula units
Fermi-level density of states: 0.65 states/eV/atom
Energy of formation: -0.331 eV/atom
Total magnetic moment: 0.000 Bohr magnetons per cell

| no. | final energy (eV per atom) |
| --- | --- |
| 1 | -7.2631 |
| 2 | -7.5163 |
| 3 | -7.4111 |
| 4 | -6.3642 |
| 5 | -7.6191 |
| 6 | -4.5026 |
| 7 | -5.3977 |
| 8 | -5.2621 |
| 9 | -5.6473 |
| 10 | -4.9052 |
| 11 | -5.3206 |
| 12 | -4.9287 |